No. 1
First-principles (PBE-GGA) data for a relaxed TaZnAg crystal, as listed in the Alexandria database.

```
data_TaZnAg
_chemical_formula_sum 'Ta1 Zn1 Ag1'
_space_group_name_H-M_alt 'P 3 m 1'
_space_group_IT_number 156
_cell_length_a 2.8693
_cell_length_b 2.8693
_cell_length_c 7.1543
_cell_angle_alpha 90.00
_cell_angle_beta 90.00
_cell_angle_gamma 120.00
loop_
_space_group_symop_operation_xyz
'x,y,z'
'-y,x-y,z'
'-x+y,-x,z'
'-y,-x,z'
'-x+y,y,z'
'x,x-y,z'
loop_
_atom_site_label
_atom_site_fract_x
_atom_site_fract_y
_atom_site_fract_z
Ta1 0.0000 0.0000 0.0000
Zn1 0.3333 0.6667 0.3309
Ag1 0.6667 0.3333 0.6501
```

Output
Formation enthalpy at 0 K = 180 meV/atom
Energy above the lowest structure with this stoichiometry = 0.082 eV per atom
Calculated total energy = -5.146 eV per atom
Crystal system = trigonal
Fermi-level density of states = 2.46 states/eV/cell

***

No. 2
First-principles (PBE-GGA) data for a relaxed NaZn2Ge crystal, as listed in the Alexandria database.

```
data_NaZn2Ge
_chemical_formula_sum 'Na4 Zn8 Ge4'
_space_group_name_H-M_alt 'I -4 2 d'
_space_group_IT_number 122
_space_group_name_Hall 'I -4 2bw'
_cell_length_a 5.022
_cell_length_b 5.022
_cell_length_c 16.846
_cell_angle_alpha 90.00
_cell_angle_beta 90.00
_cell_angle_gamma 90.00
loop_
_atom_site_label
_atom_site_fract_x
_atom_site_fract_y
_atom_site_fract_z
Na1 0.000 0.000 0.000
Zn1 0.002 0.250 0.625
Ge1 0.000 0.000 0.500
```

Output
Formation enthalpy at 0 K = 160 meV/atom
Calculated total energy = -1.961 eV per atom
Crystal system = tetragonal
Fermi-level density of states = 3.31 states/eV/cell

***

No. 3
First-principles (PBE-GGA) data for a relaxed PmTmSb crystal, as listed in the Alexandria database.

```
data_PmTmSb
_chemical_formula_sum 'Pm4 Tm4 Sb4'
_space_group_name_H-M_alt 'P m c 21'
_space_group_IT_number 26
_cell_length_a 3.860
_cell_length_b 10.919
_cell_length_c 8.450
_cell_angle_alpha 90.00
_cell_angle_beta 90.00
_cell_angle_gamma 90.00
loop_
_space_group_symop_operation_xyz
'x,y,z'
'-x,-y,z+1/2'
'-x,y,z'
'x,-y,z+1/2'
loop_
_atom_site_label
_atom_site_fract_x
_atom_site_fract_y
_atom_site_fract_z
Pm1 0.000 0.157 0.000
Pm2 0.000 0.316 0.325
Tm1 0.500 0.047 0.323
Tm2 0.500 0.372 0.698
Sb1 0.000 0.137 0.620
Sb2 0.000 0.442 0.996
```

Output
Energy above the lowest structure with this stoichiometry = 0.273 eV per atom
Calculated total energy = -4.986 eV per atom
Energy relative to the elements, uncorrected = -0.538 eV per atom
Crystal system = orthorhombic
Fermi-level density of states = 12.68 states/eV/cell

***

No. 4
First-principles (PBE-GGA) data for a relaxed BaAc3Pd crystal, as listed in the Alexandria database.

```
data_BaAc3Pd
_chemical_formula_sum 'Ba1 Ac3 Pd1'
_space_group_name_H-M_alt 'P m -3 m'
_space_group_IT_number 221
_space_group_name_Hall '-P 4 2 3'
_cell_length_a 6.114
_cell_length_b 6.114
_cell_length_c 6.114
_cell_angle_alpha 90.00
_cell_angle_beta 90.00
_cell_angle_gamma 90.00
loop_
_atom_site_label
_atom_site_fract_x
_atom_site_fract_y
_atom_site_fract_z
Ba1 0.000 0.000 0.000
Ac1 0.000 0.500 0.500
Pd1 0.500 0.500 0.500
```

Output
Formation enthalpy at 0 K = -203 meV/atom
Calculated total energy = -4.091 eV per atom
Crystal system = cubic
Fermi-level density of states = 10.51 states/eV/cell

***

No. 5
First-principles (PBE-GGA) data for a relaxed Ba4PdI4 crystal, as listed in the Alexandria database.

```
data_Ba4PdI4
_chemical_formula_sum 'Ba8 Pd2 I8'
_space_group_name_H-M_alt 'C 1 2/m 1'
_space_group_IT_number 12
_cell_length_a 17.515
_cell_length_b 4.829
_cell_length_c 12.147
_cell_angle_alpha 90.00
_cell_angle_beta 121.49
_cell_angle_gamma 90.00
loop_
_space_group_symop_operation_xyz
'x,y,z'
'-x,-y,-z'
'-x,y,-z'
'x,-y,z'
'x+1/2,y+1/2,z'
'-x+1/2,-y+1/2,-z'
'-x+1/2,y+1/2,-z'
'x+1/2,-y+1/2,z'
loop_
_atom_site_label
_atom_site_fract_x
_atom_site_fract_y
_atom_site_fract_z
Ba1 0.077 0.000 0.396
Ba2 0.178 0.500 0.763
Pd1 0.000 0.500 0.500
I1 0.119 0.000 0.919
I2 0.205 0.500 0.312
```

Output
Calculated total energy = -3.440 eV per atom
Energy relative to the elements, uncorrected = -1.320 eV per atom
Crystal system = monoclinic
Fermi-level density of states = 8.36 states/eV/cell

***

No. 6
First-principles (PBE-GGA) data for a relaxed Ni3SbPt crystal, as listed in the Alexandria database.

```
data_Ni3SbPt
_chemical_formula_sum 'Ni3 Sb1 Pt1'
_space_group_name_H-M_alt 'P m -3 m'
_space_group_IT_number 221
_space_group_name_Hall '-P 4 2 3'
_cell_length_a 4.604
_cell_length_b 4.604
_cell_length_c 4.604
_cell_angle_alpha 90.00
_cell_angle_beta 90.00
_cell_angle_gamma 90.00
loop_
_atom_site_label
_atom_site_fract_x
_atom_site_fract_y
_atom_site_fract_z
Ni1 0.000 0.000 0.500
Sb1 0.500 0.500 0.500
Pt1 0.000 0.000 0.000
```

Output
Energy above the lowest structure with this stoichiometry = 0.973 eV per atom
Calculated total energy = -4.607 eV per atom
Energy relative to the elements, uncorrected = 0.894 eV per atom
Crystal system = cubic
Fermi-level density of states = 8.25 states/eV/cell

***

No. 7
First-principles (PBE-GGA) data for a relaxed LiAcHo2 crystal, as listed in the Alexandria database.

```
data_LiAcHo2
_chemical_formula_sum 'Li3 Ac3 Ho6'
_space_group_name_H-M_alt 'R 3 m'
_space_group_IT_number 160
_space_group_name_Hall 'R 3 -2"'
_cell_length_a 3.6308
_cell_length_b 3.6308
_cell_length_c 34.2411
_cell_angle_alpha 90.00
_cell_angle_beta 90.00
_cell_angle_gamma 120.00
loop_
_atom_site_label
_atom_site_fract_x
_atom_site_fract_y
_atom_site_fract_z
Li1 0.0000 0.0000 0.0000
Ac1 0.0000 0.0000 0.1664
Ho1 0.0000 0.0000 0.4095
Ho2 0.0000 0.0000 0.5901
```

Output
Formation enthalpy at 0 K = 197 meV/atom
Energy above the lowest structure with this stoichiometry = 0.086 eV per atom
Calculated total energy = -3.597 eV per atom
Crystal system = trigonal
Fermi-level density of states = 16.61 states/eV/cell

***

No. 8
First-principles (PBE-GGA) data for a relaxed CoTc4 crystal, as listed in the Alexandria database.

```
data_CoTc4
_chemical_formula_sum 'Co2 Tc8'
_space_group_name_H-M_alt 'I 4/m m m'
_space_group_IT_number 139
_space_group_name_Hall '-I 4 2'
_cell_length_a 3.638
_cell_length_b 3.638
_cell_length_c 12.074
_cell_angle_alpha 90.00
_cell_angle_beta 90.00
_cell_angle_gamma 90.00
loop_
_atom_site_label
_atom_site_fract_x
_atom_site_fract_y
_atom_site_fract_z
Co1 0.000 0.000 0.000
Tc1 0.000 0.000 0.403
Tc2 0.000 0.500 0.250
```

Output
Formation enthalpy at 0 K = 768 meV/atom
Energy above the lowest structure with this stoichiometry = 0.708 eV per atom
Calculated total energy = -8.946 eV per atom
Crystal system = tetragonal
Fermi-level density of states = 13.31 states/eV/cell